Record 1
Computed, not measured: a relaxed structure of TaV2Pd at the GGA-PBE level of DFT.

CIF file:
```
data_TaV2Pd
_chemical_formula_sum 'Ta1 V2 Pd1'
_cell_length_a 3.207
_cell_length_b 4.335
_cell_length_c 4.335
_cell_angle_alpha 90.00
_cell_angle_beta 90.00
_cell_angle_gamma 90.00
_symmetry_space_group_name_H-M 'P 1'
_symmetry_Int_Tables_number 1
loop_
_symmetry_equiv_pos_as_xyz
'x,y,z'
loop_
_atom_site_label
_atom_site_type_symbol
_atom_site_fract_x
_atom_site_fract_y
_atom_site_fract_z
V1 V 0.000 0.500 0.000
V2 V 0.000 0.000 0.500
Ta1 Ta 0.500 0.500 0.500
Pd1 Pd 0.500 0.000 0.000
```

Calculated values
The energy comes out at -35.4 eV per formula unit.


Record 2
Computed, not measured: a relaxed structure of Ba2TlHg16 at the GGA-PBE level of DFT.

CIF file:
```
data_Ba2TlHg16
_chemical_formula_sum 'Ba2 Tl1 Hg16'
_cell_length_a 8.429
_cell_length_b 8.429
_cell_length_c 8.429
_cell_angle_alpha 75.59
_cell_angle_beta 75.59
_cell_angle_gamma 75.59
_symmetry_space_group_name_H-M 'P 1'
_symmetry_Int_Tables_number 1
loop_
_symmetry_equiv_pos_as_xyz
'x,y,z'
loop_
_atom_site_label
_atom_site_type_symbol
_atom_site_fract_x
_atom_site_fract_y
_atom_site_fract_z
Hg1 Hg 0.396 0.396 0.831
Hg2 Hg 0.707 0.293 0.001
Hg3 Hg 0.999 0.999 0.496
Hg4 Hg 0.707 0.001 0.293
Hg5 Hg 0.831 0.396 0.396
Hg6 Hg 0.293 0.707 0.001
Hg7 Hg 0.001 0.293 0.707
Hg8 Hg 0.605 0.166 0.605
Hg9 Hg 0.496 0.999 0.999
Hg10 Hg 0.102 0.102 0.102
Hg11 Hg 0.293 0.001 0.707
Hg12 Hg 0.166 0.605 0.605
Hg13 Hg 0.605 0.605 0.166
Hg14 Hg 0.001 0.707 0.293
Hg15 Hg 0.999 0.496 0.999
Hg16 Hg 0.396 0.831 0.396
Ba1 Ba 0.305 0.305 0.305
Ba2 Ba 0.692 0.692 0.692
Tl1 Tl 0.908 0.908 0.908
```

Calculated values
The energy comes out at -14.7 eV per formula unit.